KCaInWO6 | PBE+U | optimized geometry

Calculated values
- DOS at the Fermi energy (states/eV per atom) = 0.0000
- crystal system = cubic
- total moment (μB per formula unit) = 0.0
- raw total energy (eV per atom) = -6.36

Cell lengths 5.7802, 5.7802, 5.7802 Å; angles 60.00, 60.00, 60.00 degrees
With the nearest neighbours (Å) after each atom.
Element x y z (fractional)
K (0.0000, 0.0000, 0.0000)  12 O 2.89
Ca (0.5000, 0.5000, 0.5000)  12 O 2.89
In (0.7500, 0.7500, 0.7500)  6 O 2.14
W (0.2500, 0.2500, 0.2500)  6 O 1.94
O (0.0123, 0.0123, 0.4877)  1 W 1.94, 1 In 2.14
O (0.0123, 0.4877, 0.0123)  1 W 1.94, 1 In 2.14
O (0.0123, 0.4877, 0.4877)  1 W 1.94, 1 In 2.14
O (0.4877, 0.0123, 0.0123)  1 W 1.94, 1 In 2.14
O (0.4877, 0.0123, 0.4877)  1 W 1.94, 1 In 2.14
O (0.4877, 0.4877, 0.0123)  1 W 1.94, 1 In 2.14